Computed, not measured: a relaxed structure of SrTiIN2 at the PBE level of DFT.

The structure in POSCAR format:
```
SrTiIN2
1.0
4.220 0.000 0.000
0.000 4.220 0.000
0.000 0.000 5.471
Sr Ti I N
1 1 1 2
Direct
0.000 0.000 0.000
0.500 0.500 0.500
0.500 0.500 0.000
0.000 0.500 0.500
0.500 0.000 0.500
```

ΔE to the lowest computed polymorph (eV per atom): 0.000


Computed, not measured: a relaxed structure of SrTiI2N at the PBE level of DFT.

The structure in POSCAR format:
```
SrTiI2N
1.0
6.320 0.000 0.000
0.000 6.320 0.000
0.000 0.000 4.677
Sr Ti I N
1 1 2 1
Direct
0.000 0.000 0.000
0.500 0.500 0.500
0.000 0.500 0.000
0.500 0.000 0.000
0.000 0.000 0.500
```

ΔE to the lowest computed polymorph (eV per atom): 1.453


Computed, not measured: a relaxed structure of SrWI2N at the PBE level of DFT.

The structure in POSCAR format:
```
SrWI2N
1.0
6.356 0.000 0.000
0.000 6.356 0.000
0.000 0.000 4.943
Sr W I N
1 1 2 1
Direct
0.000 0.000 0.000
0.500 0.500 0.500
0.000 0.500 0.000
0.500 0.000 0.000
0.000 0.000 0.500
```

ΔE to the lowest computed polymorph (eV per atom): 1.569


How do the records compare in total magnetization? In the order shown, they have 0.162 0.313 0.600 μB/atom.
How do the records compare in raw formation energy? In the order shown, they have -1.11 3.69 7.02 eV/f.u..